A plane-wave DFT calculation with PBE was carried out for Co2TeIr after structural relaxation.

a = 4.528 Å, b = 4.528 Å, c = 4.625 Å
α = 99.83°, β = 99.83°, γ = 38.88°
Element x y z (fractional)
Co1 0.000 0.000 0.000
Co2 0.739 0.739 0.201
Te1 0.497 0.497 0.459
Ir1 0.254 0.254 0.751

Values from the calculation:
SG = Cm
electronic total energy = -24.86 eV per cell
size of the total moment = 0.67 μB/atom
formation energy from raw total energies = 338 meV/atom

***

A plane-wave DFT calculation with PBE was carried out for CoTeIr2 after structural relaxation.

a = 4.600 Å, b = 4.600 Å, c = 5.013 Å
α = 101.11°, β = 101.11°, γ = 37.97°
Element x y z (fractional)
Co1 0.000 0.000 0.000
Te1 0.755 0.755 0.268
Ir1 0.257 0.257 0.812
Ir2 0.505 0.505 0.565

Values from the calculation:
SG = Cm
electronic total energy = -26.27 eV per cell
size of the total moment = 0.39 μB/atom
formation energy from raw total energies = 426 meV/atom

***

A plane-wave DFT calculation with PBE was carried out for Co2TeIr after structural relaxation.

a = 3.008 Å, b = 4.232 Å, c = 4.514 Å
α = 90.00°, β = 90.00°, γ = 90.00°
Element x y z (fractional)
Co1 0.000 0.000 0.000
Co2 0.000 0.500 0.321
Te1 0.500 0.000 0.481
Ir1 0.500 0.500 0.852

Values from the calculation:
SG = Pmm2
electronic total energy = -24.89 eV per cell
size of the total moment = 0.51 μB/atom
formation energy from raw total energies = 332 meV/atom

***

A plane-wave DFT calculation with PBE was carried out for Th6Co2Te3Ir after structural relaxation.

a = 9.795 Å, b = 9.795 Å, c = 9.008 Å
α = 110.48°, β = 110.48°, γ = 24.93°
Element x y z (fractional)
Th1 0.019 0.019 0.234
Th2 0.316 0.316 0.441
Th3 0.343 0.343 0.887
Th4 0.657 0.657 0.113
Th5 0.684 0.684 0.559
Th6 0.981 0.981 0.766
Co1 0.168 0.168 0.335
Co2 0.832 0.832 0.665
Te1 0.164 0.164 0.832
Te2 0.500 0.500 0.500
Te3 0.836 0.836 0.168
Ir1 0.500 0.500 0.000

Values from the calculation:
SG = C2/m
electronic total energy = -87.53 eV per cell
size of the total moment = 0.00 μB/atom
formation energy from raw total energies = -876 meV/atom

***

A plane-wave DFT calculation with PBE was carried out for Th6Co2TeIr3 after structural relaxation.

a = 9.152 Å, b = 9.152 Å, c = 8.558 Å
α = 101.82°, β = 101.82°, γ = 25.85°
Element x y z (fractional)
Th1 0.018 0.018 0.286
Th2 0.317 0.317 0.897
Th3 0.331 0.331 0.411
Th4 0.669 0.669 0.589
Th5 0.683 0.683 0.103
Th6 0.982 0.982 0.714
Co1 0.172 0.172 0.341
Co2 0.828 0.828 0.659
Te1 0.500 0.500 0.000
Ir1 0.158 0.158 0.837
Ir2 0.500 0.500 0.500
Ir3 0.842 0.842 0.163

Values from the calculation:
SG = C2/m
electronic total energy = -96.50 eV per cell
size of the total moment = 0.00 μB/atom
formation energy from raw total energies = -671 meV/atom

***

A plane-wave DFT calculation with PBE was carried out for Th6Co3TeIr2 after structural relaxation.

a = 9.104 Å, b = 9.104 Å, c = 8.667 Å
α = 104.52°, β = 104.52°, γ = 25.46°
Element x y z (fractional)
Th1 0.004 0.004 0.217
Th2 0.316 0.316 0.406
Th3 0.335 0.335 0.918
Th4 0.665 0.665 0.082
Th5 0.684 0.684 0.594
Th6 0.996 0.996 0.783
Co1 0.163 0.163 0.329
Co2 0.500 0.500 0.000
Co3 0.837 0.837 0.671
Te1 0.500 0.500 0.500
Ir1 0.166 0.166 0.833
Ir2 0.834 0.834 0.167

Values from the calculation:
SG = C2/m
electronic total energy = -93.39 eV per cell
size of the total moment = 0.00 μB/atom
formation energy from raw total energies = -557 meV/atom